Record 1
A relaxed SmZnPd crystal, computed with PBE.

Summary:
Its energy of formation is -0.4265 eV per atom. As for the space-group type: P-62m (189).

a = 7.2318 Å, b = 7.2318 Å, c = 4.7547 Å
α = 90.00°, β = 90.00°, γ = 120.00°
With the nearest neighbours (Å) after each atom.
Sites, in units of the cell vectors:
1 Sm 0.3333 0.6667 0.0000  3 Pd 2.82
2 Sm 0.0000 0.0000 0.5000  6 Pd 2.93, 3 Zn 3.04
3 Sm 0.6667 0.3333 0.0000  3 Pd 2.82
4 Pd 0.7621 0.7621 0.0000  2 Zn 2.72, 4 Sm 2.82-2.93, 2 Pd 2.98
5 Zn 0.0000 0.4210 0.5000  2 Pd 2.72, 1 Sm 3.04
6 Zn 0.5790 0.5790 0.5000  2 Pd 2.72, 1 Sm 3.04
7 Pd 0.2379 0.0000 0.0000  2 Zn 2.72, 4 Sm 2.82-2.93, 2 Pd 2.98
8 Pd 0.0000 0.2379 0.0000  2 Zn 2.72, 4 Sm 2.82-2.93, 2 Pd 2.98
9 Zn 0.4210 0.0000 0.5000  2 Pd 2.72, 1 Sm 3.04

---

Record 2
A relaxed MgCuPb crystal, computed with PBE.

Summary:
The electronic total energy comes out at -2.932 eV per atom. As for the space-group type: Pnma (62).

a = 7.2166 Å, b = 4.2675 Å, c = 8.1574 Å
α = 90.00°, β = 90.00°, γ = 90.00°
With the nearest neighbours (Å) after each atom.
Sites, in units of the cell vectors:
1 Pb 0.7007 0.7500 0.4211  4 Cu 2.87-2.89, 5 Mg 2.96-3.13
2 Mg 0.0438 0.7500 0.7432  3 Cu 2.66-2.73, 1 Pb 2.96
3 Mg 0.9562 0.2500 0.2568  3 Cu 2.66-2.73, 1 Pb 2.96
4 Cu 0.1013 0.7500 0.4210  3 Mg 2.66-2.73, 4 Pb 2.87-2.89, 2 Cu 2.89
5 Cu 0.6013 0.7500 0.0790  3 Mg 2.66-2.73, 4 Pb 2.87-2.89, 2 Cu 2.89
6 Mg 0.4562 0.2500 0.2432  3 Cu 2.66-2.73, 1 Pb 2.96
7 Pb 0.7993 0.2500 0.9211  4 Cu 2.87-2.89, 5 Mg 2.96-3.13
8 Cu 0.3987 0.2500 0.9210  3 Mg 2.66-2.73, 4 Pb 2.87-2.89, 2 Cu 2.89
9 Cu 0.8987 0.2500 0.5790  3 Mg 2.66-2.73, 4 Pb 2.87-2.89, 2 Cu 2.89
10 Pb 0.2007 0.7500 0.0789  4 Cu 2.87-2.89, 5 Mg 2.96-3.13
11 Mg 0.5438 0.7500 0.7568  3 Cu 2.66-2.73, 1 Pb 2.96
12 Pb 0.2993 0.2500 0.5789  4 Cu 2.87-2.89, 5 Mg 2.96-3.13

---

Record 3
A relaxed YHoAu crystal, computed with PBE.

Summary:
Its energy of formation is -0.6561 eV per atom. The energy above the lowest structure with this stoichiometry is 0.00 eV/f.u. As for the space-group type: Pnma (62).

a = 7.1331 Å, b = 4.9375 Å, c = 8.8937 Å
α = 90.00°, β = 90.00°, γ = 90.00°
With the nearest neighbours (Å) after each atom.
Sites, in units of the cell vectors:
1 Ho 0.6491 0.2500 0.0799  4 Au 2.88-3.04
2 Ho 0.3509 0.7500 0.9201  4 Au 2.88-3.04
3 Au 0.2455 0.2500 0.1004  4 Ho 2.88-3.04, 3 Y 2.97-3.16
4 Y 0.4859 0.7500 0.3230  3 Au 2.97-3.16
5 Au 0.7545 0.7500 0.8996  4 Ho 2.88-3.04, 3 Y 2.97-3.16
6 Y 0.5141 0.2500 0.6770  3 Au 2.97-3.16
7 Y 0.9859 0.7500 0.1770  3 Au 2.97-3.16
8 Ho 0.8509 0.7500 0.5799  4 Au 2.88-3.04
9 Ho 0.1491 0.2500 0.4201  4 Au 2.88-3.04
10 Au 0.2545 0.7500 0.6004  4 Ho 2.88-3.04, 3 Y 2.97-3.16
11 Y 0.0141 0.2500 0.8230  3 Au 2.97-3.16
12 Au 0.7455 0.2500 0.3996  4 Ho 2.88-3.04, 3 Y 2.97-3.16

---

Record 4
A relaxed PrNiB crystal, computed with PBE.

Summary:
The energy above the lowest structure with this stoichiometry is 3.90 eV/f.u. As for the space-group type: F-43m (216).

a = 4.4576 Å, b = 4.4576 Å, c = 4.4576 Å
α = 60.00°, β = 60.00°, γ = 60.00°
With the nearest neighbours (Å) after each atom.
Sites, in units of the cell vectors:
1 B 0.2500 0.2500 0.2500  4 Pr 2.73
2 Ni 0.7500 0.7500 0.7500  4 Pr 2.73
3 Pr 0.0000 0.0000 0.0000  4 B 2.73, 4 Ni 2.73